[1]
First-principles (PBE) data for a geometry-optimized Hf2TlCu2 structure, as listed in Alexandria.

## Properties
Magnetic moment: 0.000 μB per atom
Symmetry: I4/mmm (139)
Final energy: -0.2175 Ha/atom
Calculated volume: 19.18 Å³ per atom

Structure (POSCAR):
```
Hf2TlCu2
1.0
3.331 0.000 0.000
0.000 3.331 0.000
1.665 1.665 8.646
Tl Hf Cu
1 2 2
Direct
0.000 0.000 0.000
0.379 0.379 0.243
0.621 0.621 0.757
0.750 0.250 0.500
0.250 0.750 0.500
```

---

[2]
First-principles (PBE) data for a geometry-optimized LiCaMn2 structure, as listed in Alexandria.

## Properties
Magnetic moment: 1.780 μB per atom
Symmetry: P2/m (10)
Final energy: -0.1834 Ha/atom
Calculated volume: 19.49 Å³ per atom
Distance to the lowest polymorph of the same formula: 246 meV per atom

Structure (POSCAR):
```
LiCaMn2
1.0
4.606 0.000 0.000
0.000 3.027 -0.019
0.000 1.431 5.583
Ca Li Mn
1 1 2
Direct
0.500 0.250 0.250
0.500 0.750 0.750
0.000 0.931 0.952
0.000 0.569 0.548
```

---

[3]
First-principles (PBE) data for a geometry-optimized AcUCoS4 structure, as listed in Alexandria.

## Properties
Magnetic moment: 0.126 μB per atom
Symmetry: P2_1/m (11)
Final energy: -0.2552 Ha/atom
Calculated volume: 20.79 Å³ per atom

Structure (POSCAR):
```
AcUCoS4
1.0
6.369 0.000 0.057
0.000 5.881 0.000
-2.424 0.000 7.749
Ac U Co S
2 2 2 8
Direct
0.741 0.750 0.937
0.259 0.250 0.063
0.756 0.750 0.446
0.244 0.250 0.554
0.234 0.750 0.333
0.766 0.250 0.667
0.019 0.510 0.733
0.981 0.010 0.267
0.981 0.490 0.267
0.019 0.990 0.733
0.426 0.750 0.141
0.574 0.250 0.859
0.429 0.750 0.596
0.571 0.250 0.404
```

---

[4]
First-principles (PBE) data for a geometry-optimized PrNdC2 structure, as listed in Alexandria.

## Properties
Magnetic moment: 0.000 μB per atom
Symmetry: Cm (8)
Final energy: -0.2611 Ha/atom
Calculated volume: 19.27 Å³ per atom
Distance to the lowest polymorph of the same formula: 0 meV per atom

Structure (POSCAR):
```
PrNdC2
1.0
4.410 1.561 -1.681
1.577 4.406 -1.676
-1.434 -1.436 5.349
Pr Nd C
1 1 2
Direct
0.905 0.257 0.711
0.408 0.760 0.218
0.635 0.988 0.820
0.681 0.033 0.107
```

---

[5]
First-principles (PBE) data for a geometry-optimized SbS2I structure, as listed in Alexandria.

## Properties
Magnetic moment: 0.000 μB per atom
Symmetry: I-42d (122)
Final energy: -0.1187 Ha/atom
Calculated volume: 29.26 Å³ per atom
Distance to the lowest polymorph of the same formula: 267 meV per atom

Structure (POSCAR):
```
SbS2I
1.0
-1.471 6.837 2.870
-5.943 0.663 -4.625
-6.110 2.040 1.966
I Sb S
2 2 4
Direct
0.000 0.000 0.000
0.750 0.250 0.500
0.500 0.500 0.000
0.250 0.750 0.500
0.562 0.125 0.250
0.188 0.625 0.250
0.375 0.438 0.750
0.875 0.812 0.750
```

---

[6]
First-principles (PBE) data for a geometry-optimized SnBi2Te2Rh7 structure, as listed in Alexandria.

## Properties
Magnetic moment: 0.000 μB per atom
Symmetry: C2/m (12)
Final energy: -0.2208 Ha/atom
Calculated volume: 20.21 Å³ per atom

Structure (POSCAR):
```
SnBi2Te2Rh7
1.0
4.037 -0.013 -0.078
-0.008 4.037 -0.078
1.648 1.646 14.821
Sn Bi Te Rh
1 2 2 7
Direct
0.000 0.000 0.000
0.861 0.861 0.410
0.139 0.139 0.590
0.581 0.581 0.761
0.419 0.419 0.239
0.500 0.500 0.000
0.379 0.379 0.417
0.621 0.621 0.583
0.956 0.456 0.128
0.456 0.956 0.128
0.544 0.044 0.872
0.044 0.544 0.872
```

---

[7]
First-principles (PBE) data for a geometry-optimized Zn2WSe structure, as listed in Alexandria.

## Properties
Magnetic moment: 0.000 μB per atom
Symmetry: P2/m (10)
Final energy: -0.1560 Ha/atom
Calculated volume: 16.61 Å³ per atom

Structure (POSCAR):
```
Zn2WSe
1.0
-3.670 1.091 3.529
-2.029 0.035 -2.120
-0.569 -4.255 0.724
Se W Zn
1 1 2
Direct
0.500 0.250 0.250
0.500 0.750 0.750
0.000 0.995 0.994
0.000 0.505 0.506
```

---

[8]
First-principles (PBE) data for a geometry-optimized LiSnOsCl2 structure, as listed in Alexandria.

## Properties
Magnetic moment: 0.966 μB per atom
Symmetry: P4/mmm (123)
Final energy: -0.1159 Ha/atom
Calculated volume: 33.65 Å³ per atom

Structure (POSCAR):
```
LiSnOsCl2
1.0
5.420 0.000 0.000
0.000 5.726 0.000
0.000 0.000 5.420
Li Os Sn Cl
1 1 1 2
Direct
0.000 0.500 0.000
0.500 0.500 0.500
0.000 0.000 0.000
0.000 0.000 0.500
0.500 0.000 0.000
```

---

[9]
First-principles (PBE) data for a geometry-optimized MgH2Rh2 structure, as listed in Alexandria.

## Properties
Magnetic moment: 0.002 μB per atom
Symmetry: Pm (6)
Final energy: -0.1700 Ha/atom
Calculated volume: 12.44 Å³ per atom
Distance to the lowest polymorph of the same formula: 189 meV per atom

Structure (POSCAR):
```
MgH2Rh2
1.0
-3.746 -2.301 -0.124
1.466 -2.412 0.487
-1.294 1.858 4.619
Mg H Rh
1 2 2
Direct
0.200 0.036 0.073
0.200 0.377 0.751
0.700 0.607 0.215
0.200 0.772 0.542
0.700 0.209 0.418
```

---

[10]
First-principles (PBE) data for a geometry-optimized SrCdAs structure, as listed in Alexandria.

## Properties
Magnetic moment: 0.000 μB per atom
Symmetry: Imm2 (44)
Final energy: -0.1035 Ha/atom
Calculated volume: 27.12 Å³ per atom
Distance to the lowest polymorph of the same formula: 204 meV per atom

Structure (POSCAR):
```
SrCdAs
1.0
6.149 -0.018 -0.025
3.757 4.868 0.025
-4.852 -2.631 2.710
Sr As Cd
1 1 1
Direct
0.661 0.661 0.000
0.980 0.980 0.000
0.359 0.359 0.000
```

---

[11]
First-principles (PBE) data for a geometry-optimized Rb3C structure, as listed in Alexandria.

## Properties
Magnetic moment: 0.443 μB per atom
Symmetry: P2/m (10)
Final energy: -0.0717 Ha/atom
Calculated volume: 57.70 Å³ per atom
Distance to the lowest polymorph of the same formula: 0 meV per atom

Structure (POSCAR):
```
Rb3C
1.0
-0.703 4.344 -1.575
-8.051 -1.835 -1.469
-7.139 0.440 4.398
C Rb
1 3
Direct
0.000 0.000 0.000
0.500 0.868 0.869
0.000 0.500 0.500
0.500 0.132 0.131
```

---

[12]
First-principles (PBE) data for a geometry-optimized CeTiP2Rh5 structure, as listed in Alexandria.

## Properties
Magnetic moment: 0.083 μB per atom
Symmetry: P4/mmm (123)
Final energy: -0.2785 Ha/atom
Calculated volume: 17.97 Å³ per atom

Structure (POSCAR):
```
CeTiP2Rh5
1.0
4.025 0.000 0.000
0.000 4.025 0.000
0.000 0.000 9.983
Ce Ti P Rh
1 1 2 5
Direct
0.000 0.000 0.500
0.000 0.000 0.000
0.500 0.500 0.271
0.500 0.500 0.729
0.000 0.500 0.163
0.500 0.000 0.163
0.000 0.500 0.837
0.500 0.000 0.837
0.500 0.500 0.500
```

---

[13]
First-principles (PBE) data for a geometry-optimized PrPu2Ru2 structure, as listed in Alexandria.

## Properties
Magnetic moment: 0.096 μB per atom
Symmetry: P-1 (2)
Final energy: -0.3834 Ha/atom
Calculated volume: 24.31 Å³ per atom
Distance to the lowest polymorph of the same formula: 28 meV per atom

Structure (POSCAR):
```
PrPu2Ru2
1.0
6.127 0.000 0.049
3.066 6.125 0.115
3.134 -0.120 6.502
Pr Pu Ru
2 4 4
Direct
0.828 0.846 0.249
0.172 0.154 0.751
0.524 0.454 0.250
0.860 0.780 0.749
0.140 0.220 0.251
0.476 0.546 0.750
0.419 0.821 0.030
0.739 0.179 0.530
0.581 0.179 0.970
0.261 0.821 0.470
```

---

[14]
First-principles (PBE) data for a geometry-optimized Er2AlRu structure, as listed in Alexandria.

## Properties
Magnetic moment: 0.000 μB per atom
Symmetry: R-3m (166)
Final energy: -0.1919 Ha/atom
Calculated volume: 22.56 Å³ per atom

Structure (POSCAR):
```
Er2AlRu
1.0
3.248 0.000 0.000
1.624 2.813 0.000
1.624 0.938 9.882
Ru Al Er
1 1 2
Direct
0.000 0.000 0.000
0.500 0.500 0.500
0.084 0.084 0.747
0.916 0.916 0.253
```

---

[15]
First-principles (PBE) data for a geometry-optimized AcScCd4 structure, as listed in Alexandria.

## Properties
Magnetic moment: 0.000 μB per atom
Symmetry: F-43m (216)
Final energy: -0.0938 Ha/atom
Calculated volume: 25.49 Å³ per atom

Structure (POSCAR):
```
AcScCd4
1.0
6.003 0.000 0.000
3.001 5.199 0.000
3.001 1.733 4.901
Sc Ac Cd
1 1 4
Direct
0.000 0.000 0.000
0.250 0.250 0.250
0.626 0.626 0.123
0.626 0.123 0.626
0.626 0.626 0.626
0.123 0.626 0.626
```

---

[16]
First-principles (PBE) data for a geometry-optimized Y3TmTl5 structure, as listed in Alexandria.

## Properties
Magnetic moment: 0.000 μB per atom
Symmetry: P6_3/mcm (193)
Final energy: -0.1572 Ha/atom
Calculated volume: 27.58 Å³ per atom

Structure (POSCAR):
```
Y3TmTl5
1.0
-5.858 0.610 -2.916
-2.170 -8.722 2.534
-2.064 7.151 5.640
Y Tm Tl
6 2 10
Direct
0.750 0.370 0.000
0.750 0.630 0.630
0.750 0.000 0.370
0.250 0.630 0.000
0.250 0.370 0.370
0.250 0.000 0.630
0.000 0.000 0.000
0.500 0.000 0.000
0.000 0.333 0.667
0.500 0.667 0.333
0.000 0.667 0.333
0.500 0.333 0.667
0.750 0.705 0.000
0.750 0.295 0.295
0.750 0.000 0.705
0.250 0.295 0.000
0.250 0.705 0.705
0.250 0.000 0.295
```

---

[17]
First-principles (PBE) data for a geometry-optimized ZrSc2F structure, as listed in Alexandria.

## Properties
Magnetic moment: 0.000 μB per atom
Symmetry: R-3m (166)
Final energy: -0.2538 Ha/atom
Calculated volume: 18.87 Å³ per atom
Distance to the lowest polymorph of the same formula: 0 meV per atom

Structure (POSCAR):
```
ZrSc2F
1.0
-1.171 -2.737 1.385
0.449 -2.903 -1.466
6.717 -2.827 3.982
Sc Zr F
2 1 1
Direct
0.732 0.732 0.804
0.268 0.268 0.196
0.500 0.500 0.500
0.000 0.000 0.000
```

---

[18]
First-principles (PBE) data for a geometry-optimized TlNiP structure, as listed in Alexandria.

## Properties
Magnetic moment: 0.000 μB per atom
Symmetry: I4mm (107)
Final energy: -0.1651 Ha/atom
Calculated volume: 19.38 Å³ per atom
Distance to the lowest polymorph of the same formula: 248 meV per atom

Structure (POSCAR):
```
TlNiP
1.0
-1.516 1.516 6.324
1.516 -1.516 6.324
1.516 1.516 -6.324
Tl Ni P
1 1 1
Direct
0.653 0.653 0.000
0.956 0.956 0.000
0.391 0.391 0.000
```

---

[19]
First-principles (PBE) data for a geometry-optimized NaCa2SbSe4 structure, as listed in Alexandria.

## Properties
Magnetic moment: 0.000 μB per atom
Symmetry: P2/m (10)
Final energy: -0.1544 Ha/atom
Calculated volume: 26.22 Å³ per atom

Structure (POSCAR):
```
NaCa2SbSe4
1.0
4.197 0.000 0.000
0.000 7.288 0.218
0.000 -2.509 6.783
Na Ca Sb Se
1 2 1 4
Direct
0.500 0.500 0.000
0.500 0.000 0.500
0.000 0.500 0.500
0.000 0.000 0.000
0.500 0.243 0.244
0.500 0.757 0.756
0.000 0.241 0.748
0.000 0.759 0.252
```

---

[20]
First-principles (PBE) data for a geometry-optimized Ac8Ga3I4Cl structure, as listed in Alexandria.

## Properties
Magnetic moment: 0.000 μB per atom
Symmetry: R-3m (166)
Final energy: -0.1471 Ha/atom
Calculated volume: 37.52 Å³ per atom

Structure (POSCAR):
```
Ac8Ga3I4Cl
1.0
9.251 0.000 0.000
0.000 9.697 0.311
-4.625 -4.622 6.544
Ac Ga I Cl
8 3 4 1
Direct
0.240 0.705 0.965
0.239 0.705 0.479
0.265 0.295 0.530
0.726 0.705 0.965
0.274 0.295 0.035
0.735 0.705 0.470
0.761 0.295 0.521
0.760 0.295 0.035
0.500 0.500 0.000
0.500 0.500 0.500
0.000 0.500 0.500
0.500 0.000 0.000
0.500 0.000 0.500
0.000 0.000 0.000
0.000 0.000 0.500
0.000 0.500 0.000
```